Run P
## LaPuZr (PBE)

Data for LaPuZr after structural relaxation.

Results
The calculation puts the density at 9.444 g cm⁻³. Its space group is I4mm (107).

extended XYZ file:
```
3
Lattice="-1.678 1.678 7.406 1.678 -1.678 7.406 1.678 1.678 -7.406" Properties=species:S:1:pos:R:3 pbc="T T T"
La 0.000 0.000 0.000
Pu 0.000 0.000 4.729
Zr 0.000 0.000 9.975
```



Run Q
## LaPuZr (PBE)

Data for LaPuZr after structural relaxation.

Results
The calculation puts the density at 9.556 g cm⁻³. Its space group is P3m1 (156).

extended XYZ file:
```
3
Lattice="3.385 0.000 0.000 -1.693 2.932 0.000 0.000 0.000 8.302" Properties=species:S:1:pos:R:3 pbc="T T T"
La 0.000 0.000 0.000
Pu 1.693 0.977 2.881
Zr 0.000 1.954 5.405
```



Tell me which of them is the least stable. Sure, it is run Q.



Run P
## RbLaRe3 (PBE)

Data for RbLaRe3 after structural relaxation.

Results
The calculation puts the density at 10.059 g cm⁻³. Its space group is Pm-3m (221).

extended XYZ file:
```
5
Lattice="5.056 0.000 0.000 0.000 5.056 0.000 0.000 0.000 5.056" Properties=species:S:1:pos:R:3 pbc="T T T"
Rb 0.000 0.000 0.000
La 2.528 2.528 2.528
Re 0.000 2.528 2.528
Re 2.528 0.000 2.528
Re 2.528 2.528 0.000
```



Run Q
## RbLaRe3 (PBE)

Data for RbLaRe3 after structural relaxation.

Results
The calculation puts the density at 11.461 g cm⁻³. Its space group is Pm-3m (221).

extended XYZ file:
```
5
Lattice="4.841 0.000 0.000 0.000 4.841 0.000 0.000 0.000 4.841" Properties=species:S:1:pos:R:3 pbc="T T T"
Rb 0.000 0.000 0.000
La 2.420 2.420 2.420
Re 0.000 0.000 2.420
Re 0.000 2.420 0.000
Re 2.420 0.000 0.000
```



Tell me which of them is the least stable. Sure, it is run Q.



Run P
## Rb2LaRh (PBE)

Data for Rb2LaRh after structural relaxation.

Results
The calculation puts the density at 5.212 g cm⁻³. Its space group is Fm-3m (225).

extended XYZ file:
```
4
Lattice="0.000 4.036 4.036 4.036 0.000 4.036 4.036 4.036 0.000" Properties=species:S:1:pos:R:3 pbc="T T T"
Rb 2.018 2.018 2.018
Rb 6.054 6.054 6.054
La 0.000 0.000 0.000
Rh 4.036 4.036 4.036
```



Run Q
## Rb2LaRh (PBE)

Data for Rb2LaRh after structural relaxation.

Results
The calculation puts the density at 2.981 g cm⁻³. Its space group is I-42d (122).

extended XYZ file:
```
8
Lattice="-6.810 6.810 2.479 6.810 -6.810 2.479 6.810 6.810 -2.479" Properties=species:S:1:pos:R:3 pbc="T T T"
Rb -1.398 3.405 0.620
Rb 3.405 5.412 1.859
Rb 1.398 10.215 0.620
Rb -3.405 8.209 1.859
La 6.810 0.000 1.240
La 0.000 0.000 2.479
Rh 0.000 0.000 0.000
Rh 0.000 6.810 1.240
```



Tell me which of them is the least stable. Sure, it is run P.



Run P
## Rb3LaRu (PBE)

Data for Rb3LaRu after structural relaxation.

Results
The calculation puts the density at 3.807 g cm⁻³. Its space group is P4mm (99).

extended XYZ file:
```
5
Lattice="4.482 0.000 0.000 0.000 4.482 0.000 0.000 0.000 10.776" Properties=species:S:1:pos:R:3 pbc="T T T"
Rb 0.000 0.000 0.000
Rb 0.000 2.241 6.316
Rb 2.241 0.000 6.316
La 2.241 2.241 3.043
Ru 0.000 0.000 3.580
```



Run Q
## Rb3LaRu (PBE)

Data for Rb3LaRu after structural relaxation.

Results
The calculation puts the density at 2.665 g cm⁻³. Its space group is P-1 (2).

extended XYZ file:
```
10
Lattice="5.222 0.000 0.000 0.631 11.535 0.000 1.760 5.031 10.271" Properties=species:S:1:pos:R:3 pbc="T T T"
Rb 1.640 5.040 4.034
Rb 2.009 11.895 2.151
Rb 1.689 7.756 0.156
Rb 5.925 8.809 10.115
Rb 5.605 4.671 8.119
Rb 5.973 11.526 6.236
La 3.363 7.986 6.743
La 4.251 8.580 3.527
Ru 2.057 8.599 4.166
Ru 5.556 7.966 6.104
```



Run R
## Rb3LaRu (PBE)

Data for Rb3LaRu after structural relaxation.

Results
The calculation puts the density at 3.325 g cm⁻³. Its space group is I-4m2 (119).

extended XYZ file:
```
10
Lattice="-3.010 3.010 13.678 3.010 -3.010 13.678 3.010 3.010 -13.678" Properties=species:S:1:pos:R:3 pbc="T T T"
Rb 0.000 0.000 6.049
Rb 1.513 3.010 -3.483
Rb 1.497 0.000 10.195
Rb 3.010 1.513 3.483
Rb 0.000 0.000 21.306
Rb 0.000 1.497 17.160
La 0.000 3.010 0.325
La 0.000 3.010 13.352
Ru 3.010 0.000 6.839
Ru 0.000 0.000 13.678
```



Tell me which of them is the least stable. Sure, it is run R.



Run P
## Rb3LaRu (PBE)

Data for Rb3LaRu after structural relaxation.

Results
The calculation puts the density at 3.672 g cm⁻³. Its space group is Amm2 (38).

extended XYZ file:
```
5
Lattice="3.642 0.000 0.000 0.000 2.900 10.629 0.000 -2.900 10.629" Properties=species:S:1:pos:R:3 pbc="T T T"
Rb 0.000 0.000 0.000
Rb 1.821 -1.435 6.187
Rb 1.821 1.435 6.187
La 0.000 0.000 13.498
Ru 1.821 0.000 3.088
```



Run Q
## Rb3LaRu (PBE)

Data for Rb3LaRu after structural relaxation.

Results
The calculation puts the density at 3.624 g cm⁻³. Its space group is Cmcm (63).

extended XYZ file:
```
10
Lattice="2.873 -10.545 0.000 2.873 10.545 0.000 0.000 0.000 7.508" Properties=species:S:1:pos:R:3 pbc="T T T"
Rb 0.000 0.000 0.000
Rb 0.000 0.000 3.754
Rb 1.433 4.043 1.877
Rb 1.433 -4.043 5.631
Rb 4.313 4.043 1.877
Rb 4.313 -4.043 5.631
La 2.873 2.580 5.631
La 2.873 -2.580 1.877
Ru 2.873 7.475 1.877
Ru 2.873 -7.475 5.631
```



Tell me which of them is the least stable. Sure, it is run P.



Run P
## RbLa3Ru (PBE)

Data for RbLa3Ru after structural relaxation.

Results
The calculation puts the density at 6.025 g cm⁻³. Its space group is Pm-3m (221).

extended XYZ file:
```
5
Lattice="5.499 0.000 0.000 0.000 5.499 0.000 0.000 0.000 5.499" Properties=species:S:1:pos:R:3 pbc="T T T"
Rb 0.000 0.000 0.000
La 0.000 0.000 2.749
La 0.000 2.749 0.000
La 2.749 0.000 0.000
Ru 2.749 2.749 2.749
```



Run Q
## RbLa3Ru (PBE)

Data for RbLa3Ru after structural relaxation.

Results
The calculation puts the density at 5.250 g cm⁻³. Its space group is Pm-3m (221).

extended XYZ file:
```
5
Lattice="5.757 0.000 0.000 0.000 5.757 0.000 0.000 0.000 5.757" Properties=species:S:1:pos:R:3 pbc="T T T"
Rb 0.000 0.000 0.000
La 0.000 2.878 2.878
La 2.878 0.000 2.878
La 2.878 2.878 0.000
Ru 2.878 2.878 2.878
```



Tell me which of them is the least stable. Sure, it is run P.



Run P
## RbLaS3 (PBE)

Data for RbLaS3 after structural relaxation.

Results
The calculation puts the density at 3.689 g cm⁻³. Its space group is Pm-3m (221).

extended XYZ file:
```
5
Lattice="5.245 0.000 0.000 0.000 5.245 0.000 0.000 0.000 5.245" Properties=species:S:1:pos:R:3 pbc="T T T"
Rb 0.000 0.000 0.000
La 2.623 2.623 2.623
S 0.000 0.000 2.623
S 0.000 2.623 0.000
S 2.623 0.000 0.000
```



Run Q
## RbLaS3 (PBE)

Data for RbLaS3 after structural relaxation.

Results
The calculation puts the density at 3.008 g cm⁻³. Its space group is Pm-3m (221).

extended XYZ file:
```
5
Lattice="5.615 0.000 0.000 0.000 5.615 0.000 0.000 0.000 5.615" Properties=species:S:1:pos:R:3 pbc="T T T"
Rb 0.000 0.000 0.000
La 2.807 2.807 2.807
S 0.000 2.807 2.807
S 2.807 0.000 2.807
S 2.807 2.807 0.000
```



Tell me which of them is the least stable. Sure, it is run P.



Run P
## Rb3LaS (PBE)

Data for Rb3LaS after structural relaxation.

Results
The calculation puts the density at 2.526 g cm⁻³. Its space group is Pm-3m (221).

extended XYZ file:
```
5
Lattice="6.550 0.000 0.000 0.000 6.550 0.000 0.000 0.000 6.550" Properties=species:S:1:pos:R:3 pbc="T T T"
Rb 0.000 0.000 3.275
Rb 0.000 3.275 0.000
Rb 3.275 0.000 0.000
La 3.275 3.275 3.275
S 0.000 0.000 0.000
```



Run Q
## Rb3LaS (PBE)

Data for Rb3LaS after structural relaxation.

Results
The calculation puts the density at 2.296 g cm⁻³. Its space group is Pm-3m (221).

extended XYZ file:
```
5
Lattice="6.761 0.000 0.000 0.000 6.761 0.000 0.000 0.000 6.761" Properties=species:S:1:pos:R:3 pbc="T T T"
Rb 0.000 0.000 3.380
Rb 0.000 3.380 0.000
Rb 3.380 0.000 0.000
La 0.000 0.000 0.000
S 3.380 3.380 3.380
```



Tell me which of them is the least stable. Sure, it is run Q.